VASP calculation (meta-GGA SCAN) on a PBEsol-optimized structure of NaCuSiBi2.

## Properties
* density: 6.82 Mg/m³
* E_form (uncorrected): 31 kJ per mole of atoms
* space group: P4/mmm, No. 123

Structure (extended XYZ):
```
5
Lattice="5.480 0.000 0.000 0.000 5.480 0.000 0.000 0.000 4.316" Properties=species:S:1:pos:R:3 pbc="T T T"
Na 0.000 0.000 0.000
Cu 2.740 2.740 2.158
Si 2.740 2.740 0.000
Bi 0.000 2.740 2.158
Bi 2.740 0.000 2.158
```